(1)
# KTcNi2, PBEsol geometry, DFT SCAN
data_KTcNi2
_chemical_formula_sum 'K2 Tc2 Ni4'
_space_group_name_H-M_alt 'C 1 m 1'
_space_group_IT_number 8
_space_group_name_Hall 'C -2y'
_cell_length_a 8.311
_cell_length_b 2.598
_cell_length_c 6.668
_cell_angle_alpha 90.00
_cell_angle_beta 94.83
_cell_angle_gamma 90.00
loop_
_atom_site_label
_atom_site_type_symbol
_atom_site_fract_x
_atom_site_fract_y
_atom_site_fract_z
K1 K 0.000 0.000 0.000
Tc1 Tc 0.279 0.500 0.391
Ni1 Ni 0.014 0.500 0.509
Ni2 Ni 0.233 0.000 0.680
# - energy relative to the elements (kJ per mole of atoms) = 72

(2)
# KNi2Te, PBEsol geometry, DFT SCAN
data_KNi2Te
_chemical_formula_sum 'K4 Ni8 Te4'
_space_group_name_H-M_alt 'F -4 3 m'
_space_group_IT_number 216
_space_group_name_Hall 'F -4 2 3'
_cell_length_a 6.655
_cell_length_b 6.655
_cell_length_c 6.655
_cell_angle_alpha 90.00
_cell_angle_beta 90.00
_cell_angle_gamma 90.00
loop_
_atom_site_label
_atom_site_type_symbol
_atom_site_fract_x
_atom_site_fract_y
_atom_site_fract_z
K1 K 0.000 0.000 0.000
Ni1 Ni 0.000 0.000 0.500
Ni2 Ni 0.250 0.250 0.250
Te1 Te 0.250 0.250 0.750
# - E_tot (eV/atom) = -18.757